(1)
# AlTeP2Pd | Alexandria via LeMat-Bulk | GGA-PBE | relaxed
data_AlTeP2Pd
_symmetry_space_group_name_H-M 'P 4/m m m'
_symmetry_Int_Tables_number 123
_symmetry_space_group_name_Hall '-P 4 2'
_cell_length_a 4.639
_cell_length_b 4.639
_cell_length_c 4.815
_cell_angle_alpha 90.00
_cell_angle_beta 90.00
_cell_angle_gamma 90.00
loop_
_atom_site_label
_atom_site_type_symbol
_atom_site_fract_x
_atom_site_fract_y
_atom_site_fract_z
Al1 Al 0.000 0.000 0.000
Te1 Te 0.500 0.500 0.500
P1 P 0.000 0.500 0.000
Pd1 Pd 0.000 0.000 0.500
# * E: -4.03 eV/atom
# * theoretical density: 5.18 g/cm3
# * magnetization: 0.0 μB/f.u.
# * formation energy from raw total energies: 0.5462 eV/atom


(2)
# PmAlP2 | Alexandria via LeMat-Bulk | GGA-PBE | relaxed
data_PmAlP2
_symmetry_space_group_name_H-M 'R -3 m'
_symmetry_Int_Tables_number 166
_symmetry_space_group_name_Hall '-R 3 2"'
_cell_length_a 4.4707
_cell_length_b 4.4707
_cell_length_c 21.3662
_cell_angle_alpha 90.00
_cell_angle_beta 90.00
_cell_angle_gamma 120.00
loop_
_atom_site_label
_atom_site_type_symbol
_atom_site_fract_x
_atom_site_fract_y
_atom_site_fract_z
Pm1 Pm 0.0000 0.0000 0.0000
Al1 Al 0.0000 0.0000 0.5000
P1 P 0.0000 0.0000 0.3979
# * E: -5.26 eV/atom
# * theoretical density: 3.15 g/cm3
# * E above lowest polymorph: 34 kJ/mol of formula units
# * E_form: -0.44 eV/atom
# * magnetization: 0.0 μB/f.u.


(3)
# Pm3AlP | Alexandria via LeMat-Bulk | GGA-PBE | relaxed
data_Pm3AlP
_symmetry_space_group_name_H-M 'C 1 2/m 1'
_symmetry_Int_Tables_number 12
_cell_length_a 15.410
_cell_length_b 4.130
_cell_length_c 9.153
_cell_angle_alpha 90.00
_cell_angle_beta 95.84
_cell_angle_gamma 90.00
loop_
_symmetry_equiv_pos_as_xyz
'x,y,z'
'-x,-y,-z'
'-x,y,-z'
'x,-y,z'
'x+1/2,y+1/2,z'
'-x+1/2,-y+1/2,-z'
'-x+1/2,y+1/2,-z'
'x+1/2,-y+1/2,z'
loop_
_atom_site_label
_atom_site_type_symbol
_atom_site_fract_x
_atom_site_fract_y
_atom_site_fract_z
Pm1 Pm 0.043 0.000 0.295
Pm2 Pm 0.139 0.500 0.953
Pm3 Pm 0.236 0.000 0.660
Al1 Al 0.085 0.500 0.565
P1 P 0.195 0.000 0.152
# * E: -5.38 eV/atom
# * theoretical density: 5.65 g/cm3
# * E above lowest polymorph: 0 kJ/mol of formula units
# * E_form: -0.70 eV/atom
# * magnetization: 0.0 μB/f.u.


(4)
# PmAlP2 | Alexandria via LeMat-Bulk | GGA-PBE | relaxed
data_PmAlP2
_symmetry_space_group_name_H-M 'P 4/m m m'
_symmetry_Int_Tables_number 123
_symmetry_space_group_name_Hall '-P 4 2'
_cell_length_a 4.555
_cell_length_b 4.555
_cell_length_c 3.683
_cell_angle_alpha 90.00
_cell_angle_beta 90.00
_cell_angle_gamma 90.00
loop_
_atom_site_label
_atom_site_type_symbol
_atom_site_fract_x
_atom_site_fract_y
_atom_site_fract_z
Pm1 Pm 0.000 0.000 0.000
Al1 Al 0.500 0.500 0.000
P1 P 0.000 0.500 0.500
# * E: -5.35 eV/atom
# * theoretical density: 5.08 g/cm3
# * E above lowest polymorph: 0 kJ/mol of formula units
# * E_form: -0.53 eV/atom
# * magnetization: 0.0 μB/f.u.


(5)
# PmAl2P | Alexandria via LeMat-Bulk | GGA-PBE | relaxed
data_PmAl2P
_symmetry_space_group_name_H-M 'P 4/m m m'
_symmetry_Int_Tables_number 123
_symmetry_space_group_name_Hall '-P 4 2'
_cell_length_a 4.135
_cell_length_b 4.135
_cell_length_c 4.645
_cell_angle_alpha 90.00
_cell_angle_beta 90.00
_cell_angle_gamma 90.00
loop_
_atom_site_label
_atom_site_type_symbol
_atom_site_fract_x
_atom_site_fract_y
_atom_site_fract_z
Pm1 Pm 0.000 0.000 0.000
Al1 Al 0.000 0.500 0.500
P1 P 0.500 0.500 0.000
# * E: -4.84 eV/atom
# * theoretical density: 4.81 g/cm3
# * E_form: -0.43 eV/atom
# * magnetization: 0.0 μB/f.u.


(6)
# Pm3AlP | Alexandria via LeMat-Bulk | GGA-PBE | relaxed
data_Pm3AlP
_symmetry_space_group_name_H-M 'P m -3 m'
_symmetry_Int_Tables_number 221
_symmetry_space_group_name_Hall '-P 4 2 3'
_cell_length_a 5.401
_cell_length_b 5.401
_cell_length_c 5.401
_cell_angle_alpha 90.00
_cell_angle_beta 90.00
_cell_angle_gamma 90.00
loop_
_atom_site_label
_atom_site_type_symbol
_atom_site_fract_x
_atom_site_fract_y
_atom_site_fract_z
Pm1 Pm 0.000 0.000 0.500
Al1 Al 0.500 0.500 0.500
P1 P 0.000 0.000 0.000
# * E: -5.20 eV/atom
# * theoretical density: 5.20 g/cm3
# * E above lowest polymorph: 90 kJ/mol of formula units
# * E_form: -0.52 eV/atom
# * magnetization: 0.0 μB/f.u.


(7)
# Pm3AlP2Pt9 | Alexandria via LeMat-Bulk | GGA-PBE | relaxed
data_Pm3AlP2Pt9
_symmetry_space_group_name_H-M 'P -3 m 1'
_symmetry_Int_Tables_number 164
_symmetry_space_group_name_Hall '-P 3 2"'
_cell_length_a 6.3593
_cell_length_b 6.3593
_cell_length_c 8.7708
_cell_angle_alpha 90.00
_cell_angle_beta 90.00
_cell_angle_gamma 120.00
loop_
_atom_site_label
_atom_site_type_symbol
_atom_site_fract_x
_atom_site_fract_y
_atom_site_fract_z
Pm1 Pm 0.0000 0.0000 0.0000
Pm2 Pm 0.3333 0.6667 0.6847
Al1 Al 0.0000 0.0000 0.5000
P1 P 0.3333 0.6667 0.1805
Pt1 Pt 0.0000 0.5000 0.0000
Pt2 Pt 0.1458 0.2916 0.2822
# * E: -6.33 eV/atom
# * theoretical density: 12.32 g/cm3
# * E_form: -0.78 eV/atom
# * magnetization: 0.0 μB/f.u.


(8)
# Pm2AlPPt6 | Alexandria via LeMat-Bulk | GGA-PBE | relaxed
data_Pm2AlPPt6
_symmetry_space_group_name_H-M 'P m m n'
_symmetry_Int_Tables_number 59
_cell_length_a 5.582
_cell_length_b 8.585
_cell_length_c 8.207
_cell_angle_alpha 90.00
_cell_angle_beta 90.00
_cell_angle_gamma 90.00
loop_
_symmetry_equiv_pos_as_xyz
'x,y,z'
'-x,-y,-z'
'-x+1/2,-y+1/2,z'
'x+1/2,y+1/2,-z'
'x+1/2,-y,-z'
'-x+1/2,y,z'
'-x,y+1/2,-z'
'x,-y+1/2,z'
loop_
_atom_site_label
_atom_site_type_symbol
_atom_site_fract_x
_atom_site_fract_y
_atom_site_fract_z
Pm1 Pm 0.250 0.012 0.226
Al1 Al 0.250 0.750 0.778
P1 P 0.250 0.250 0.742
Pt1 Pt 0.000 0.250 0.973
Pt2 Pt 0.001 0.750 0.516
Pt3 Pt 0.250 0.004 0.618
# * E: -6.46 eV/atom
# * theoretical density: 12.82 g/cm3
# * E_form: -0.97 eV/atom
# * magnetization: 0.0 μB/f.u.


magnetization of number 5 (PmAl2P)? 0.0 μB/f.u.


Repeat the seventh record exactly.
# Pm3AlP2Pt9 | Alexandria via LeMat-Bulk | GGA-PBE | relaxed
data_Pm3AlP2Pt9
_symmetry_space_group_name_H-M 'P -3 m 1'
_symmetry_Int_Tables_number 164
_symmetry_space_group_name_Hall '-P 3 2"'
_cell_length_a 6.3593
_cell_length_b 6.3593
_cell_length_c 8.7708
_cell_angle_alpha 90.00
_cell_angle_beta 90.00
_cell_angle_gamma 120.00
loop_
_atom_site_label
_atom_site_type_symbol
_atom_site_fract_x
_atom_site_fract_y
_atom_site_fract_z
Pm1 Pm 0.0000 0.0000 0.0000
Pm2 Pm 0.3333 0.6667 0.6847
Al1 Al 0.0000 0.0000 0.5000
P1 P 0.3333 0.6667 0.1805
Pt1 Pt 0.0000 0.5000 0.0000
Pt2 Pt 0.1458 0.2916 0.2822
# * E: -6.33 eV/atom
# * theoretical density: 12.32 g/cm3
# * E_form: -0.78 eV/atom
# * magnetization: 0.0 μB/f.u.


What did the third record say?
# Pm3AlP | Alexandria via LeMat-Bulk | GGA-PBE | relaxed
data_Pm3AlP
_symmetry_space_group_name_H-M 'C 1 2/m 1'
_symmetry_Int_Tables_number 12
_cell_length_a 15.410
_cell_length_b 4.130
_cell_length_c 9.153
_cell_angle_alpha 90.00
_cell_angle_beta 95.84
_cell_angle_gamma 90.00
loop_
_symmetry_equiv_pos_as_xyz
'x,y,z'
'-x,-y,-z'
'-x,y,-z'
'x,-y,z'
'x+1/2,y+1/2,z'
'-x+1/2,-y+1/2,-z'
'-x+1/2,y+1/2,-z'
'x+1/2,-y+1/2,z'
loop_
_atom_site_label
_atom_site_type_symbol
_atom_site_fract_x
_atom_site_fract_y
_atom_site_fract_z
Pm1 Pm 0.043 0.000 0.295
Pm2 Pm 0.139 0.500 0.953
Pm3 Pm 0.236 0.000 0.660
Al1 Al 0.085 0.500 0.565
P1 P 0.195 0.000 0.152
# * E: -5.38 eV/atom
# * theoretical density: 5.65 g/cm3
# * E above lowest polymorph: 0 kJ/mol of formula units
# * E_form: -0.70 eV/atom
# * magnetization: 0.0 μB/f.u.